Record 1
VASP calculation (SCAN) on a crystal of ZrTlBr2 relaxed with PBEsol.

The structure in POSCAR format:
```
ZrTlBr2
1.0
3.712 0.000 0.000
0.000 3.712 0.000
0.000 0.000 7.147
Br Tl Zr
2 1 1
Direct
0.500 0.500 0.208
0.000 0.000 0.948
0.000 0.000 0.515
0.500 0.500 0.829
```

Results
**DOS(E_F)**: 1.76 states/eV per cell



Record 2
VASP calculation (SCAN) on a crystal of UBr5 relaxed with PBEsol.

The structure in POSCAR format:
```
UBr5
1.0
6.823 -0.003 0.008
-3.273 6.670 0.055
-0.131 -3.745 9.496
Br U
10 2
Direct
0.547 0.416 0.665
0.924 0.185 0.434
0.453 0.584 0.335
0.076 0.815 0.566
0.253 0.189 0.953
0.747 0.811 0.047
0.313 0.006 0.252
0.883 0.396 0.151
0.117 0.604 0.849
0.687 0.994 0.748
0.896 0.788 0.787
0.104 0.212 0.213
```



Record 3
VASP calculation (SCAN) on a crystal of VBr2 relaxed with PBEsol.

The structure in POSCAR format:
```
VBr2
1.0
3.761 0.000 0.000
-1.881 3.257 0.000
0.000 0.000 6.256
V Br
1 2
Direct
0.000 0.000 0.000
0.333 0.667 0.227
0.667 0.333 0.773
```

Results
**DOS(E_F)**: 0.00 states/eV per cell



Record 4
VASP calculation (SCAN) on a crystal of WBr5 relaxed with PBEsol.

The structure in POSCAR format:
```
WBr5
1.0
3.034 0.000 0.000
0.000 3.034 0.000
0.000 0.000 15.840
W Br
1 5
Direct
0.500 0.500 0.000
0.500 0.500 0.720
0.500 0.500 0.280
0.000 0.000 0.500
0.000 0.000 0.101
0.000 0.000 0.899
```

Results
**DOS(E_F)**: 3.70 states/eV per cell



Record 5
VASP calculation (SCAN) on a crystal of W2Br relaxed with PBEsol.

The structure in POSCAR format:
```
W2Br
1.0
-2.710 -1.389 3.473
-1.404 -0.509 -4.371
2.266 -4.832 -0.165
W Br
4 2
Direct
0.667 0.333 0.250
0.000 0.000 0.500
0.333 0.667 0.750
0.000 0.000 0.000
0.667 0.333 0.750
0.333 0.667 0.250
```

Results
**DOS(E_F)**: 5.99 states/eV per cell



Record 6
VASP calculation (SCAN) on a crystal of WBr5 relaxed with PBEsol.

The structure in POSCAR format:
```
WBr5
1.0
-0.530 -5.168 -3.822
-3.235 -0.323 6.142
-5.328 4.997 -5.955
W Br
2 10
Direct
0.104 0.716 0.218
0.896 0.284 0.782
0.690 0.494 0.753
0.310 0.506 0.247
0.756 0.311 0.046
0.123 0.116 0.850
0.076 0.318 0.562
0.244 0.689 0.954
0.877 0.884 0.150
0.555 0.916 0.660
0.924 0.682 0.438
0.445 0.084 0.340
```

Results
**DOS(E_F)**: 2.82 states/eV per cell



Record 7
VASP calculation (SCAN) on a crystal of W2Br relaxed with PBEsol.

The structure in POSCAR format:
```
W2Br
1.0
2.924 0.000 0.000
-1.462 2.532 0.000
0.000 0.000 6.631
W Br
2 1
Direct
0.333 0.667 0.332
0.667 0.333 0.668
0.000 0.000 0.000
```

Results
**DOS(E_F)**: 2.64 states/eV per cell



Record 8
VASP calculation (SCAN) on a crystal of WBr5 relaxed with PBEsol.

The structure in POSCAR format:
```
WBr5
1.0
3.772 0.000 0.000
-1.886 6.612 0.000
0.000 0.000 6.729
Br W
5 1
Direct
0.693 0.386 0.000
0.028 0.056 0.000
0.490 0.981 0.500
0.360 0.721 0.000
0.233 0.467 0.500
0.862 0.724 0.500
```

Results
**DOS(E_F)**: 3.40 states/eV per cell



The calculation returns the following formation energy from raw total energies values, one per record and in order: -571 -1272 -1258 487 1921 -462 1028 376 meV per atom.